No. 1
Compound: Li2MgSe
Source: Alexandria via LeMat-Bulk
Functional: PBE-GGA
Structure: optimized geometry

abc: 5.405 5.405 5.405
angles: 136.06 136.06 63.88
Fractional positions:
Li (0.000, 0.000, 0.000)
Li (0.500, 0.500, 0.000)
Mg (0.250, 0.750, 0.500)
Se (0.750, 0.250, 0.500)

Relative energy among the computed polymorphs: 0.1833 eV/atom
Crystal system: tetragonal
Symmetry: No. 139
Total magnetic moment: 0.00 μB/atom
Uncorrected formation energy: -1.86 eV/f.u.



No. 2
Compound: LiMg2Se
Source: Alexandria via LeMat-Bulk
Functional: PBE-GGA
Structure: optimized geometry

abc: 8.501 8.501 8.501
angles: 25.25 25.25 25.25
Fractional positions:
Li (0.750, 0.750, 0.750)
Mg (0.984, 0.984, 0.984)
Mg (0.516, 0.516, 0.516)
Se (0.250, 0.250, 0.250)

Crystal system: trigonal
Symmetry: No. 166
Total magnetic moment: 0.00 μB/atom
Uncorrected formation energy: -1.52 eV/f.u.



No. 3
Compound: Li2MgSe
Source: Alexandria via LeMat-Bulk
Functional: PBE-GGA
Structure: optimized geometry

abc: 4.054 4.054 6.703
angles: 76.06 76.06 58.94
Fractional positions:
Li (0.043, 0.043, 0.889)
Li (0.457, 0.457, 0.611)
Mg (0.250, 0.250, 0.250)
Se (0.750, 0.750, 0.750)

Relative energy among the computed polymorphs: 0.0515 eV/atom
Crystal system: monoclinic
Symmetry: No. 12
Total magnetic moment: 0.00 μB/atom
Uncorrected formation energy: -2.39 eV/f.u.



No. 4
Compound: LiMgSe2
Source: Alexandria via LeMat-Bulk
Functional: PBE-GGA
Structure: optimized geometry

abc: 4.792 4.792 4.792
angles: 60.00 60.00 60.00
Fractional positions:
Mg (0.500, 0.500, 0.500)
Se (0.250, 0.250, 0.250)
Se (0.750, 0.750, 0.750)
Li (0.000, 0.000, 0.000)

Crystal system: cubic
Symmetry: No. 225
Total magnetic moment: 0.00 μB/atom
Uncorrected formation energy: -2.92 eV/f.u.



No. 5
Compound: LiMg2Se
Source: Alexandria via LeMat-Bulk
Functional: PBE-GGA
Structure: optimized geometry

abc: 9.012 9.012 6.849
angles: 48.86 48.86 90.00
Fractional positions:
Mg (0.715, 0.125, 0.250)
Mg (0.035, 0.625, 0.250)
Mg (0.375, 0.285, 0.750)
Mg (0.875, 0.965, 0.750)
Se (0.000, 0.000, 0.000)
Se (0.750, 0.250, 0.500)
Li (0.500, 0.500, 0.000)
Li (0.250, 0.750, 0.500)

Crystal system: tetragonal
Symmetry: No. 122
Total magnetic moment: 0.00 μB/atom
Uncorrected formation energy: -1.69 eV/f.u.



No. 6
Compound: LiMg2Se
Source: Alexandria via LeMat-Bulk
Functional: PBE-GGA
Structure: optimized geometry

abc: 6.847 6.847 6.847
angles: 149.30 147.27 45.48
Fractional positions:
Li (0.314, 0.814, 0.500)
Mg (0.016, 0.016, 0.000)
Mg (0.711, 0.211, 0.500)
Se (0.459, 0.459, 0.000)

Crystal system: orthorhombic
Symmetry: No. 44
Total magnetic moment: 0.00 μB/atom
Uncorrected formation energy: -1.76 eV/f.u.



Repeat the fifth record exactly.
Compound: LiMg2Se
Source: Alexandria via LeMat-Bulk
Functional: PBE-GGA
Structure: optimized geometry

abc: 9.012 9.012 6.849
angles: 48.86 48.86 90.00
Fractional positions:
Mg (0.715, 0.125, 0.250)
Mg (0.035, 0.625, 0.250)
Mg (0.375, 0.285, 0.750)
Mg (0.875, 0.965, 0.750)
Se (0.000, 0.000, 0.000)
Se (0.750, 0.250, 0.500)
Li (0.500, 0.500, 0.000)
Li (0.250, 0.750, 0.500)

Crystal system: tetragonal
Symmetry: No. 122
Total magnetic moment: 0.00 μB/atom
Uncorrected formation energy: -1.69 eV/f.u.



Question: uncorrected formation energy of number 2 (LiMg2Se)?
Answer: -1.52 eV/f.u.